The following is a GGA+U calculation of a geometry-optimized UVFeO6 structure, from Alexandria via LeMat-Bulk.

Unit cell a=5.2836 b=5.2836 c=8.9181 alpha=90.00 beta=90.00 gamma=120.00
Space group P-31c (No. 163)
One atom of each set of equivalent atoms:
U 0.3333 0.6667 0.2500 [2 per cell]
V 0.3333 0.6667 0.7500 [2 per cell]
Fe 0.0000 0.0000 0.0000 [2 per cell]
O 0.0071 0.3333 0.6288 [12 per cell]

- M_tot (μB per cell) = 14.0
- E (eV per cell) = -148.955